Ca2In3Hg2: optimized geometry, PBE-GGA.

Cell: 11.988 11.988 8.412 Å, 90.00 90.00 161.39°
Fractional coordinates of all 14 atoms:
Ca 0.070 0.930 0.750
Ca 0.150 0.850 0.250
Ca 0.850 0.150 0.750
Ca 0.930 0.070 0.250
In 0.236 0.764 0.750
In 0.447 0.553 0.578
In 0.447 0.553 0.922
In 0.553 0.447 0.078
In 0.553 0.447 0.422
In 0.764 0.236 0.250
Hg 0.327 0.673 0.045
Hg 0.327 0.673 0.455
Hg 0.673 0.327 0.545
Hg 0.673 0.327 0.955

- offset from the most stable computed form (meV per atom) = 34
- ΔE_f (eV per atom) = -0.315
- symmetry = Cmcm, No. 63
- total energy (eV per cell) = -30.048